Crystalline Lu4TePbC2 at its relaxed geometry. Source: the Open Quantum Materials Database, functional PBE.

Summary:
Total DFT energy (no corrections) = -49.04 eV/cell
Theoretical density = 10.4 g cm⁻³
SG = No. 187

a = 3.634 Å, b = 3.634 Å, c = 14.739 Å
α = 90.00°, β = 90.00°, γ = 120.00°
Fractional positions:
1 Lu 0.000 0.000 0.152
2 Lu 0.000 0.000 0.848
3 Lu 0.667 0.333 0.324
4 Lu 0.667 0.333 0.676
5 Te 0.667 0.333 0.000
6 Pb 0.000 0.000 0.500
7 C 0.333 0.667 0.238
8 C 0.333 0.667 0.762